Entry from OQMD: an optimized crystal structure of Y2In2Hg (PBE).

```
5
Lattice="3.361 2.466 -2.526 -3.513 1.988 -2.732 -0.394 2.719 6.833" Properties=species:S:1:pos:R:3 pbc="T T T"
In -0.171 3.231 -1.776
In -0.375 3.942 3.350
Hg 0.000 0.000 0.000
Y -1.991 3.467 0.735
Y 1.446 3.706 0.839
```

## Properties
Magnetic moment ... 0.796 μB/f.u.
V ... 154.62 Å³ per cell
Raw total energy ... -18.08 eV/f.u.
Offset from the most stable computed form ... 104.3 meV/atom